*1*
GGA-PBE BeFeI2, optimized geometry; M_tot = 3.29 μB per formula unit; Fermi-level density of states = 1.74 states/eV per cell
1.0
0.0000 3.5297 3.5297
3.5297 0.0000 3.5297
3.5297 3.5297 0.0000
I Be Fe
2 1 1
Direct
0.2500 0.2500 0.2500
0.7500 0.7500 0.7500
0.0000 0.0000 0.0000
0.5000 0.5000 0.5000

=====

*2*
GGA-PBE BeFeI2, optimized geometry; M_tot = 2.00 μB per formula unit; Fermi-level density of states = 2.32 states/eV per cell
1.0
5.8203 0.0000 0.0000
0.0000 5.8203 0.0000
2.9102 2.9102 5.6659
I Be Fe
4 2 2
Direct
0.6115 0.1250 0.2500
0.1385 0.6250 0.2500
0.3750 0.3885 0.7500
0.8750 0.8615 0.7500
0.5000 0.5000 0.0000
0.2500 0.7500 0.5000
0.0000 0.0000 0.0000
0.7500 0.2500 0.5000

=====

Short version: *1* is the least stable of them.

=====

*1*
GGA-PBE Be2FeI, optimized geometry; M_tot = 1.03 μB per formula unit; Fermi-level density of states = 1.93 states/eV per cell
1.0
0.0000 3.0201 3.0201
3.0201 0.0000 3.0201
3.0201 3.0201 0.0000
I Be Fe
1 2 1
Direct
0.5000 0.5000 0.5000
0.2500 0.2500 0.2500
0.7500 0.7500 0.7500
0.0000 0.0000 0.0000

=====

*2*
GGA-PBE Be2FeI, optimized geometry; M_tot = 1.99 μB per formula unit; Fermi-level density of states = 6.99 states/eV per cell
1.0
-0.7697 -4.8716 -2.8601
-0.9645 -2.7308 4.9110
-5.5813 -2.8299 0.6397
I Be Fe
2 4 2
Direct
0.0000 0.0000 0.0000
0.7500 0.2500 0.5000
0.5842 0.1250 0.2500
0.1658 0.6250 0.2500
0.3750 0.4158 0.7500
0.8750 0.8342 0.7500
0.5000 0.5000 0.0000
0.2500 0.7500 0.5000

=====

Short version: *1* is the least stable of them.